## Na2Mn3F8 (GGA+U)

Data for a relaxed Na2Mn3F8 crystal.

a b c (Å): 6.5291 6.5291 5.5361
angles (deg): 106.81 106.81 60.41
With the nearest neighbours (Å) after each atom.
Element x y z (fractional)
Na  0.2180  0.2180  0.1427  5 F 2.29-2.46
Na  0.7820  0.7820  0.8573  5 F 2.29-2.46
Mn  0.2389  0.7611  0.5000  6 F 2.11-2.21
Mn  0.5000  0.5000  0.0000  6 F 2.14-2.18
Mn  0.7611  0.2389  0.5000  6 F 2.11-2.21
F  0.1043  0.1043  0.4154  2 Mn 2.11, 1 Na 2.29
F  0.1670  0.6080  0.1066  2 Mn 2.14, 1 Na 2.37
F  0.3920  0.8330  0.8934  2 Mn 2.14, 1 Na 2.37
F  0.3976  0.3976  0.5882  3 Mn 2.18-2.21
F  0.6024  0.6024  0.4118  3 Mn 2.18-2.21
F  0.6080  0.1670  0.1066  2 Mn 2.14, 1 Na 2.37
F  0.8330  0.3920  0.8934  2 Mn 2.14, 1 Na 2.37
F  0.8957  0.8957  0.5846  2 Mn 2.11, 1 Na 2.29

Properties
Magnetic moment ... 1.1538 μB/atom
Raw total energy ... -5.77 eV/atom